Here is DyCrP2O8 after structural relaxation from Alexandria via LeMat-Bulk. Energies are from PBE+U.

```
data_DyCrP2O8
_chemical_formula_sum 'Dy1 Cr1 P2 O8'
_space_group_name_H-M_alt 'P 1'
_space_group_IT_number 1
_cell_length_a 5.621
_cell_length_b 5.621
_cell_length_c 5.621
_cell_angle_alpha 106.38
_cell_angle_beta 106.38
_cell_angle_gamma 115.84
loop_
_space_group_symop_operation_xyz
'x,y,z'
loop_
_atom_site_label
_atom_site_fract_x
_atom_site_fract_y
_atom_site_fract_z
_atom_site_occupancy
Dy1 0.000 0.000 0.000 1
Cr1 0.250 0.750 0.500 1
P1 0.500 0.500 0.000 1
P2 0.750 0.250 0.500 1
O1 0.337 0.155 0.818 1
O2 0.337 0.519 0.182 1
O3 0.408 0.082 0.325 1
O4 0.481 0.663 0.818 1
O5 0.757 0.082 0.675 1
O6 0.845 0.663 0.182 1
O7 0.918 0.243 0.325 1
O8 0.918 0.592 0.675 1
```

Calculated values
- VASP energy: -7.6257 eV per atom